# 1
DFT (PBE) results for a relaxed CaLa2Mo crystal.

a = 4.864 Å, b = 4.864 Å, c = 9.494 Å
α = 90.00°, β = 90.00°, γ = 90.00°
Space group I-4m2 (No. 119)
Asymmetric unit:
1 Ca 0.000 0.000 0.000
2 La 0.000 0.000 0.500
3 La 0.000 0.500 0.750
4 Mo 0.000 0.500 0.250

Results
total moment: 0.54 μB per formula unit
DOS(E_F): 10.99 states/eV per cell
DFT formation energy: 0.563 eV/atom
raw total energy: -5.109 eV per atom
energy above the lowest structure with this stoichiometry: 26.3 kJ per mole of atoms

# 2
DFT (PBE) results for a relaxed CaLaMo2 crystal.

a = 3.458 Å, b = 5.300 Å, c = 10.481 Å
α = 90.00°, β = 90.00°, γ = 90.00°
Space group Cmm2 (No. 35)
Asymmetric unit:
1 Ca 0.000 0.000 0.000
2 La 0.000 0.500 0.659
3 Mo 0.000 0.000 0.415
4 Mo 0.000 0.500 0.245

Results
total moment: 0.00 μB per formula unit
DOS(E_F): 8.96 states/eV per cell
DFT formation energy: 0.519 eV/atom
raw total energy: -6.629 eV per atom
energy above the lowest structure with this stoichiometry: 19.9 kJ per mole of atoms

# 3
DFT (PBE) results for a relaxed CaLaMo2 crystal.

a = 4.009 Å, b = 4.009 Å, c = 6.557 Å
α = 90.00°, β = 90.00°, γ = 90.00°
Space group P4/mmm (No. 123)
Asymmetric unit:
1 Ca 0.000 0.000 0.000
2 La 0.000 0.000 0.500
3 Mo 0.500 0.500 0.325

Results
total moment: 0.00 μB per formula unit
DOS(E_F): 5.54 states/eV per cell
DFT formation energy: 0.780 eV/atom
raw total energy: -6.368 eV per atom
energy above the lowest structure with this stoichiometry: 45.1 kJ per mole of atoms

# 4
DFT (PBE) results for a relaxed CaLaMo2 crystal.

a = 4.156 Å, b = 4.156 Å, c = 10.096 Å
α = 90.00°, β = 90.00°, γ = 90.00°
Space group I4/mmm (No. 139)
Asymmetric unit:
1 Ca 0.000 0.000 0.000
2 La 0.000 0.000 0.500
3 Mo 0.000 0.500 0.250

Results
total moment: 0.00 μB per formula unit
DOS(E_F): 8.38 states/eV per cell
DFT formation energy: 0.862 eV/atom
raw total energy: -6.286 eV per atom
energy above the lowest structure with this stoichiometry: 53.0 kJ per mole of atoms

# 5
DFT (PBE) results for a relaxed CaLa2Mo crystal.

a = 3.650 Å, b = 4.965 Å, c = 6.682 Å
α = 90.00°, β = 102.61°, γ = 90.00°
Space group Pm (No. 6)
Asymmetric unit:
1 Ca 0.000 0.000 0.000
2 La 0.289 0.000 0.578
3 La 0.633 0.500 0.315
4 Mo 0.455 0.500 0.744

Results
total moment: 0.00 μB per formula unit
DOS(E_F): 4.89 states/eV per cell
DFT formation energy: 0.508 eV/atom
raw total energy: -5.164 eV per atom
energy above the lowest structure with this stoichiometry: 21.1 kJ per mole of atoms

# 6
DFT (PBE) results for a relaxed CaLa4Mo crystal.

a = 9.344 Å, b = 9.344 Å, c = 9.344 Å
α = 90.00°, β = 90.00°, γ = 90.00°
Space group F-43m (No. 216)
Asymmetric unit:
1 Ca 0.000 0.000 0.000
2 La 0.121 0.121 0.621
3 Mo 0.250 0.250 0.250

Results
total moment: 3.52 μB per formula unit
DOS(E_F): 42.73 states/eV per cell
DFT formation energy: 0.761 eV/atom
raw total energy: -4.663 eV per atom